# 1
Te2Ir: relaxed, PBE.

```
3
Lattice="3.4676 0.0000 0.0000 0.0000 3.1078 0.0000 -0.1562 0.0000 7.4211" Properties=species:S:1:pos:R:3 pbc="T T T"
Te 0.0000 0.0000 0.0000
Te 1.4710 1.5539 3.9577
Ir 1.7596 1.5539 1.3261
```

Size of the total moment = 0.000 μB/atom
Formation energy (no corrections) = 0.1691 eV per atom
DFT total energy = -4.879 eV/atom
V = 26.7 Å³/atom
Mass density = 9.3 g/cm³
Symmetry = Pm (6)
Crystal system = monoclinic

***

# 2
Te2Ir: relaxed, PBE.

```
3
Lattice="5.0683 0.0000 0.0000 -2.5341 4.3893 0.0000 0.0000 0.0000 3.0635" Properties=species:S:1:pos:R:3 pbc="T T T"
Te 0.0000 2.9262 0.0000
Te 2.5342 1.4631 0.0000
Ir 0.0000 0.0000 1.5317
```

Size of the total moment = 0.000 μB/atom
Formation energy (no corrections) = 1.0470 eV per atom
DFT total energy = -4.001 eV/atom
V = 22.7 Å³/atom
Mass density = 10.9 g/cm³
Symmetry = P6/mmm (191)
Crystal system = hexagonal

***

# 3
Te2Ir: relaxed, PBE.

```
9
Lattice="10.0836 -2.0332 0.0000 10.0836 2.0332 0.0000 -0.0369 0.0000 5.4108" Properties=species:S:1:pos:R:3 pbc="T T T"
Te 0.8820 0.0000 1.2043
Te 5.6364 0.0000 4.1219
Te 7.6243 0.0000 1.5527
Te 12.5060 0.0000 3.8580
Te 14.4939 0.0000 1.2888
Te 19.2482 0.0000 4.2064
Ir 3.1768 0.0000 5.3977
Ir 10.0651 0.0000 2.7054
Ir 16.9535 0.0000 0.0130
```

Size of the total moment = 0.000 μB/atom
Formation energy (no corrections) = -0.2932 eV per atom
DFT total energy = -5.341 eV/atom
V = 24.7 Å³/atom
Mass density = 10.0 g/cm³
Symmetry = C2/m (12)
Crystal system = monoclinic

***

> Which formula does entry 2 have?

Te2Ir

***

> Look up the formation energy (no corrections) of the first one.

0.1691 eV per atom

***

Repeat the second record exactly.
Te2Ir: relaxed, PBE.

```
3
Lattice="5.0683 0.0000 0.0000 -2.5341 4.3893 0.0000 0.0000 0.0000 3.0635" Properties=species:S:1:pos:R:3 pbc="T T T"
Te 0.0000 2.9262 0.0000
Te 2.5342 1.4631 0.0000
Ir 0.0000 0.0000 1.5317
```

Size of the total moment = 0.000 μB/atom
Formation energy (no corrections) = 1.0470 eV per atom
DFT total energy = -4.001 eV/atom
V = 22.7 Å³/atom
Mass density = 10.9 g/cm³
Symmetry = P6/mmm (191)
Crystal system = hexagonal